A plane-wave DFT calculation with SCAN was carried out for a PBEsol-optimized structure of PSeCl2.

Cell: 4.1865 4.1865 5.0304 Å, 114.59 114.59 90.00°
Fractional positions:
1 Cl 0.7500 0.2500 0.5000
2 P 0.5000 0.5000 0.0000
3 Cl 0.2500 0.7500 0.5000
4 Se 0.0000 0.0000 0.0000

## Properties
**Theoretical density**: 4.21 g cm⁻³

---

A plane-wave DFT calculation with SCAN was carried out for a PBEsol-optimized structure of PSe2Cl.

Cell: 6.1244 6.1244 6.1244 Å, 105.51 111.49 111.49°
Fractional positions:
1 Cl 0.0000 0.0000 0.0000
2 Cl 0.5000 0.7500 0.2500
3 Se 0.0639 0.1889 0.6250
4 Se 0.9361 0.5611 0.1250
5 P 0.0000 0.5000 0.5000
6 Se 0.5639 0.3750 0.4389
7 Se 0.4361 0.8750 0.8111
8 P 0.5000 0.2500 0.7500

## Properties
**Theoretical density**: 4.23 g cm⁻³

---

A plane-wave DFT calculation with SCAN was carried out for a PBEsol-optimized structure of PSe2Cl.

Cell: 3.6507 3.6507 6.4996 Å, 90.00 90.00 90.00°
Site moments in Bohr magnetons follow the coordinates.
Fractional positions:
1 Se 0.0000 0.5000 0.0000  0.04
2 P 0.0000 0.0000 0.5000  0.48
3 Se 0.5000 0.0000 0.0000  0.04
4 Cl 0.5000 0.5000 0.5000  0.04

## Properties
**Theoretical density**: 4.30 g cm⁻³

---

The calculation returns the following DFT total energy values, one per record and in order: -42.982, -116.178, -56.301 eV per cell.
The calculation returns the following excess energy over the best structure of this formula in the dataset values, one per record and in order: 318.7, 0.0, 447.0 meV per atom.
The calculation returns the following raw formation energy values, one per record and in order: 0.86, 0.11, 0.56 eV per atom.